First-principles (PBE) data for a relaxed structure of ErPu2Ru2, as listed in the Alexandria database.

Properties
Total energy: -207.8 eV/cell
Energy relative to the lowest polymorph listed for this composition: 0.497 eV/f.u.
Density: 12.07 g/cm3
D(E_F): 2.3967 states/eV per atom
ΔE_f: -35 meV/atom
Crystal system: orthorhombic

CIF file:
```
data_ErPu2Ru2
_chemical_formula_sum 'Er4 Pu8 Ru8'
_symmetry_space_group_name_H-M 'I m m a'
_symmetry_Int_Tables_number 74
_symmetry_space_group_name_Hall '-I 2b 2'
_cell_length_a 4.419
_cell_length_b 8.361
_cell_length_c 12.774
_cell_angle_alpha 90.00
_cell_angle_beta 90.00
_cell_angle_gamma 90.00
loop_
_atom_site_label
_atom_site_type_symbol
_atom_site_fract_x
_atom_site_fract_y
_atom_site_fract_z
Er1 Er 0.000 0.250 0.054
Pu1 Pu 0.000 0.051 0.642
Ru1 Ru 0.000 0.250 0.304
Ru2 Ru 0.000 0.250 0.832
```


First-principles (PBE) data for a relaxed structure of Er2PuRu2, as listed in the Alexandria database.

Properties
Total energy: -175.8 eV/cell
Energy relative to the lowest polymorph listed for this composition: 0.000 eV/f.u.
Density: 11.85 g/cm3
D(E_F): 1.1178 states/eV per atom
ΔE_f: -390 meV/atom
Crystal system: monoclinic

CIF file:
```
data_Er2PuRu2
_chemical_formula_sum 'Er8 Pu4 Ru8'
_symmetry_space_group_name_H-M 'C 1 2/c 1'
_symmetry_Int_Tables_number 15
_symmetry_space_group_name_Hall '-C 2yc'
_cell_length_a 10.042
_cell_length_b 5.733
_cell_length_c 7.771
_cell_angle_alpha 90.00
_cell_angle_beta 101.94
_cell_angle_gamma 90.00
loop_
_atom_site_label
_atom_site_type_symbol
_atom_site_fract_x
_atom_site_fract_y
_atom_site_fract_z
Er1 Er 0.152 0.133 0.151
Pu1 Pu 0.000 0.364 0.750
Ru1 Ru 0.132 0.360 0.508
```


- What is the total energy in the second record?
  -175.8 eV/cell


- energy relative to the lowest polymorph listed for this composition of number 2 (Er2PuRu2)?
  0.000 eV/f.u.